AlCuW2 at its PBEsol-relaxed geometry, computed with SCAN.

Cell lengths 9.081, 2.661, 4.834 Å; angles 90.00, 97.67, 90.00 degrees
Space group Cm (No. 8)
Asymmetric unit:
1 Al 0.000 0.000 0.000 (multiplicity 2)
2 Cu 0.257 0.000 0.773 (multiplicity 2)
3 W 0.011 0.500 0.512 (multiplicity 2)
4 W 0.251 0.500 0.266 (multiplicity 2)

***

AlCu3W at its PBEsol-relaxed geometry, computed with SCAN.

Cell lengths 4.185, 4.185, 4.185 Å; angles 90.00, 90.00, 90.00 degrees
Space group Pm-3m (No. 221)
Asymmetric unit:
1 Al 0.000 0.000 0.000 (multiplicity 1)
2 Cu 0.000 0.000 0.500 (multiplicity 3)
3 W 0.500 0.500 0.500 (multiplicity 1)

***

AlCuW2 at its PBEsol-relaxed geometry, computed with SCAN.

Cell lengths 6.146, 6.146, 6.146 Å; angles 90.00, 90.00, 90.00 degrees
Space group F-43m (No. 216)
Asymmetric unit:
1 Al 0.000 0.000 0.000 (multiplicity 4)
2 Cu 0.250 0.250 0.750 (multiplicity 4)
3 W 0.000 0.000 0.500 (multiplicity 4)
4 W 0.250 0.250 0.250 (multiplicity 4)

***

AlCuW2 at its PBEsol-relaxed geometry, computed with SCAN.

Cell lengths 5.233, 8.404, 2.660 Å; angles 90.00, 100.48, 90.00 degrees
Space group C2/m (No. 12)
Asymmetric unit:
1 Al 0.000 0.000 0.000 (multiplicity 2)
2 Cu 0.000 0.500 0.000 (multiplicity 2)
3 W 0.250 0.250 0.500 (multiplicity 4)

***

YAl6Cu6 at its PBEsol-relaxed geometry, computed with SCAN.

Cell lengths 4.982, 8.507, 8.653 Å; angles 90.00, 90.00, 90.00 degrees
Space group Immm (No. 71)
Asymmetric unit:
1 Y 0.000 0.000 0.000 (multiplicity 2)
2 Al 0.000 0.000 0.348 (multiplicity 4)
3 Al 0.000 0.345 0.000 (multiplicity 4)
4 Al 0.000 0.500 0.301 (multiplicity 4)
5 Cu 0.000 0.269 0.500 (multiplicity 4)
6 Cu 0.250 0.250 0.250 (multiplicity 8)

***

YAl8Cu4 at its PBEsol-relaxed geometry, computed with SCAN.

Cell lengths 8.717, 8.717, 5.088 Å; angles 90.00, 90.00, 90.00 degrees
Space group I4/mmm (No. 139)
Asymmetric unit:
1 Y 0.000 0.000 0.000 (multiplicity 2)
2 Al 0.000 0.218 0.500 (multiplicity 8)
3 Al 0.000 0.347 0.000 (multiplicity 8)
4 Cu 0.250 0.250 0.250 (multiplicity 8)

***

YAl2Cu2 at its PBEsol-relaxed geometry, computed with SCAN.

Cell lengths 4.007, 4.007, 10.444 Å; angles 90.00, 90.00, 90.00 degrees
Space group I4/mmm (No. 139)
Asymmetric unit:
1 Y 0.000 0.000 0.000 (multiplicity 2)
2 Al 0.000 0.500 0.250 (multiplicity 4)
3 Cu 0.000 0.000 0.387 (multiplicity 4)

***

Y6Al7Cu16 at its PBEsol-relaxed geometry, computed with SCAN.

Cell lengths 12.167, 12.167, 12.167 Å; angles 90.00, 90.00, 90.00 degrees
Space group Fm-3m (No. 225)
Asymmetric unit:
1 Y 0.000 0.000 0.213 (multiplicity 24)
2 Al 0.000 0.000 0.500 (multiplicity 4)
3 Al 0.000 0.250 0.250 (multiplicity 24)
4 Cu 0.122 0.122 0.378 (multiplicity 32)
5 Cu 0.174 0.174 0.174 (multiplicity 32)

***

The records above yield calculated formation energy values of 0.152 1.281 0.145 0.113 -0.459 -0.392 -0.527 -0.459 eV per atom, respectively.
The records above yield calculated volume values of 116 73 232 115 367 387 168 1801 Å³/cell, respectively.